Version A
The following is a PBE calculation of a relaxed structure of TePbIO2, from Alexandria.

```
data_TePbIO2
_chemical_formula_sum 'Te1 Pb1 I1 O2'
_cell_length_a 4.326
_cell_length_b 4.326
_cell_length_c 7.044
_cell_angle_alpha 90.00
_cell_angle_beta 90.00
_cell_angle_gamma 90.00
_symmetry_space_group_name_H-M 'P 1'
_symmetry_Int_Tables_number 1
_symmetry_space_group_name_Hall 'P 1'
loop_
_atom_site_label
_atom_site_fract_x
_atom_site_fract_y
_atom_site_fract_z
_atom_site_occupancy
Pb1 0.000 0.000 0.000 1
I1 0.000 0.000 0.500 1
Te1 0.500 0.500 0.500 1
O1 0.000 0.500 0.000 1
O2 0.500 0.000 0.000 1
```

Crystal system = tetragonal
M_tot = 0.00 μB/f.u.



Version B
The following is a PBE calculation of a relaxed structure of TePbIO2, from Alexandria.

```
data_TePbIO2
_chemical_formula_sum 'Te1 Pb1 I1 O2'
_cell_length_a 4.343
_cell_length_b 4.343
_cell_length_c 6.477
_cell_angle_alpha 90.00
_cell_angle_beta 90.00
_cell_angle_gamma 90.00
_symmetry_space_group_name_H-M 'P 1'
_symmetry_Int_Tables_number 1
_symmetry_space_group_name_Hall 'P 1'
loop_
_atom_site_label
_atom_site_fract_x
_atom_site_fract_y
_atom_site_fract_z
_atom_site_occupancy
Pb1 0.500 0.500 0.500 1
I1 0.000 0.000 0.500 1
Te1 0.000 0.000 0.000 1
O1 0.000 0.500 0.000 1
O2 0.500 0.000 0.000 1
```

Crystal system = tetragonal
M_tot = 0.00 μB/f.u.



Pick the least stable structure from those above. Pick: version A